(1)
Entry from Alexandria: an optimized crystal structure of NdZn2Ag3 (PBE-GGA).

Cell: 4.314 8.423 7.872 Å, 116.86 90.00 104.84°
Fractional coordinates of all 12 atoms:
1 Ag 0.601 0.201 0.696
2 Ag 0.956 0.913 0.622
3 Ag 0.313 0.627 0.549
4 Ag 0.399 0.799 0.304
5 Ag 0.687 0.373 0.451
6 Ag 0.044 0.087 0.378
7 Zn 0.796 0.593 0.281
8 Zn 0.518 0.036 0.167
9 Zn 0.482 0.964 0.833
10 Zn 0.204 0.407 0.719
11 Nd 0.146 0.291 0.063
12 Nd 0.854 0.709 0.937

Output
E_form in eV per atom: -0.169
Energy above the lowest structure with this stoichiometry in meV per atom: 7



(2)
Entry from Alexandria: an optimized crystal structure of Zr2GaCu3 (PBE-GGA).

Cell: 5.253 5.253 8.109 Å, 101.31 101.31 113.24°
Fractional coordinates of all 12 atoms:
1 Zr 0.756 0.756 0.000
2 Zr 0.244 0.244 0.000
3 Zr 0.250 0.750 0.500
4 Zr 0.750 0.250 0.500
5 Cu 0.166 0.166 0.333
6 Cu 0.167 0.667 0.833
7 Cu 0.667 0.167 0.833
8 Cu 0.333 0.833 0.167
9 Cu 0.833 0.333 0.167
10 Cu 0.834 0.834 0.667
11 Ga 0.334 0.334 0.668
12 Ga 0.666 0.666 0.332

Output
E_form in eV per atom: -0.272
Energy above the lowest structure with this stoichiometry in meV per atom: 0



(3)
Entry from Alexandria: an optimized crystal structure of Ac12Co5Ir3 (PBE-GGA).

Cell: 14.869 14.869 14.869 Å, 109.47 109.47 109.47°
Fractional coordinates of all 80 atoms:
1 Co 0.500 0.000 0.500
2 Co 0.125 0.375 0.250
3 Co 0.000 0.000 0.000
4 Co 0.750 0.625 0.375
5 Co 0.000 0.500 0.500
6 Co 0.500 0.500 0.500
7 Co 0.375 0.125 0.750
8 Co 0.375 0.250 0.125
9 Co 0.000 0.000 0.500
10 Co 0.750 0.125 0.875
11 Co 0.625 0.750 0.875
12 Co 0.500 0.500 0.000
13 Co 0.875 0.625 0.750
14 Co 0.875 0.250 0.625
15 Co 0.625 0.875 0.250
16 Co 0.500 0.000 0.000
17 Co 0.250 0.375 0.625
18 Co 0.250 0.875 0.125
19 Co 0.000 0.500 0.000
20 Co 0.125 0.750 0.375
21 Ac 0.322 0.785 0.412
22 Ac 0.322 0.537 0.410
23 Ac 0.410 0.037 0.322
24 Ac 0.373 0.963 0.785
25 Ac 0.373 0.410 0.088
26 Ac 0.410 0.373 0.588
27 Ac 0.463 0.785 0.873
28 Ac 0.588 0.715 0.678
29 Ac 0.090 0.178 0.463
30 Ac 0.822 0.912 0.285
31 Ac 0.215 0.678 0.088
32 Ac 0.537 0.322 0.910
33 Ac 0.127 0.715 0.537
34 Ac 0.178 0.090 0.963
35 Ac 0.412 0.285 0.322
36 Ac 0.590 0.963 0.678
37 Ac 0.088 0.910 0.373
38 Ac 0.090 0.912 0.127
39 Ac 0.715 0.127 0.037
40 Ac 0.873 0.285 0.463
41 Ac 0.037 0.627 0.715
42 Ac 0.627 0.037 0.215
43 Ac 0.590 0.627 0.412
44 Ac 0.285 0.873 0.963
45 Ac 0.873 0.588 0.910
46 Ac 0.910 0.088 0.873
47 Ac 0.178 0.088 0.715
48 Ac 0.963 0.373 0.285
49 Ac 0.678 0.463 0.590
50 Ac 0.912 0.822 0.785
51 Ac 0.822 0.910 0.037
52 Ac 0.678 0.215 0.588
53 Ac 0.785 0.463 0.373
54 Ac 0.785 0.322 0.912
55 Ac 0.463 0.678 0.090
56 Ac 0.215 0.537 0.627
57 Ac 0.588 0.873 0.410
58 Ac 0.037 0.410 0.822
59 Ac 0.412 0.127 0.590
60 Ac 0.912 0.090 0.627
61 Ac 0.627 0.590 0.912
62 Ac 0.715 0.588 0.178
63 Ac 0.127 0.412 0.090
64 Ac 0.963 0.590 0.178
65 Ac 0.088 0.178 0.215
66 Ac 0.537 0.215 0.127
67 Ac 0.910 0.822 0.537
68 Ac 0.285 0.412 0.822
69 Ir 0.375 0.750 0.625
70 Ir 0.250 0.625 0.875
71 Ir 0.250 0.125 0.375
72 Ir 0.125 0.250 0.875
73 Ir 0.750 0.875 0.625
74 Ir 0.625 0.250 0.375
75 Ir 0.875 0.125 0.250
76 Ir 0.625 0.375 0.750
77 Ir 0.875 0.750 0.125
78 Ir 0.375 0.625 0.250
79 Ir 0.125 0.875 0.750
80 Ir 0.750 0.375 0.125

Output
E_form in eV per atom: -0.008



(4)
Entry from Alexandria: an optimized crystal structure of Dy2TiO5 (PBE-GGA).

Cell: 3.707 10.436 11.315 Å, 90.00 90.00 90.00°
Fractional coordinates of all 32 atoms:
1 O 0.750 0.276 0.957
2 O 0.250 0.763 0.383
3 O 0.250 0.494 0.395
4 O 0.250 0.507 0.845
5 O 0.250 0.263 0.117
6 O 0.250 0.724 0.043
7 O 0.250 0.224 0.457
8 O 0.750 0.493 0.155
9 O 0.250 0.757 0.729
10 O 0.750 0.776 0.543
11 O 0.750 0.237 0.617
12 O 0.750 0.506 0.605
13 O 0.750 0.743 0.229
14 O 0.250 0.257 0.771
15 O 0.750 0.737 0.883
16 O 0.750 0.243 0.271
17 O 0.250 0.994 0.105
18 O 0.750 0.006 0.895
19 O 0.250 0.007 0.655
20 O 0.750 0.993 0.345
21 Ti 0.250 0.174 0.619
22 Ti 0.750 0.326 0.119
23 Ti 0.750 0.826 0.381
24 Ti 0.250 0.674 0.881
25 Dy 0.750 0.864 0.056
26 Dy 0.250 0.136 0.944
27 Dy 0.250 0.115 0.276
28 Dy 0.750 0.385 0.776
29 Dy 0.750 0.364 0.444
30 Dy 0.250 0.636 0.556
31 Dy 0.750 0.885 0.724
32 Dy 0.250 0.615 0.224

Output
E_form (uncorrected) in eV/f.u.: -27.6
Energy above the lowest structure with this stoichiometry in meV per atom: 0



(5)
Entry from Alexandria: an optimized crystal structure of Sc2AlB6 (PBE-GGA).

Cell: 3.445 5.353 5.353 Å, 120.00 90.00 90.00°
Fractional coordinates of all 9 atoms:
1 B 0.500 0.000 0.667
2 B 0.500 0.333 0.000
3 B 0.500 0.000 0.333
4 B 0.500 0.333 0.333
5 B 0.500 0.667 0.667
6 B 0.500 0.667 0.000
7 Sc 0.000 0.667 0.333
8 Sc 0.000 0.333 0.667
9 Al 0.000 0.000 0.000

Output
E_form in eV per atom: -0.589



(6)
Entry from Alexandria: an optimized crystal structure of SmTaSi2Ru (PBE-GGA).

Cell: 4.043 4.043 6.234 Å, 108.92 108.92 90.00°
Fractional coordinates of all 5 atoms:
1 Ta 0.750 0.250 0.500
2 Ru 0.250 0.750 0.500
3 Si 0.610 0.610 0.220
4 Si 0.390 0.390 0.780
5 Sm 0.000 0.000 0.000

Output
E_form (uncorrected) in eV/f.u.: -3.3



(7)
Entry from Alexandria: an optimized crystal structure of NiOsS2 (PBE-GGA).

Cell: 7.086 7.086 7.086 Å, 28.37 28.37 28.37°
Last column: magnetic moment on the atom in μB.
Fractional coordinates of all 4 atoms:
1 Ni 0.000 0.000 0.000  0.40
2 Os 0.500 0.500 0.500  -0.06
3 S 0.104 0.104 0.104  0.00
4 S 0.896 0.896 0.896  0.00

Output
E_form (uncorrected) in eV/f.u.: 0.6
Energy above the lowest structure with this stoichiometry in meV per atom: 221



(8)
Entry from Alexandria: an optimized crystal structure of Si4I (PBE-GGA).

Cell: 5.284 5.284 5.284 Å, 90.00 90.00 90.00°
Fractional coordinates of all 5 atoms:
1 I 0.500 0.500 0.500
2 Si 0.500 0.000 0.500
3 Si 0.500 0.500 0.000
4 Si 0.000 0.000 0.000
5 Si 0.000 0.500 0.500

Output
E_form (uncorrected) in eV/f.u.: 9.5



Record-wise density values, in Mg/m³: 8.133, 7.657, 9.437, 6.871, 3.530, 8.961, 7.323, 2.693
Record-wise Fermi-level density of states values, in states/eV per atom: 0.51, 0.52, 0.61, 0.00, 0.22, 0.58, 1.42, 0.71